1.
The following is a DFT calculation (PBE) of Ac4SiPd3 after structural relaxation.

Geometry as POSCAR:
```
Ac4SiPd3
1.0
4.330 0.000 0.000
0.000 4.524 0.000
0.000 0.000 11.770
Ac Si Pd
4 1 3
direct
0.000 0.000 0.000 Ac
0.000 0.500 0.272 Ac
0.500 0.000 0.502 Ac
0.500 0.500 0.776 Ac
0.000 0.000 0.707 Si
0.000 0.500 0.568 Pd
0.500 0.000 0.223 Pd
0.500 0.500 0.054 Pd
```

Output
**Space group**: Pmm2
**E_form (uncorrected)**: -0.736 eV/atom
**Electronic total energy**: -5.415 eV/atom

2.
The following is a DFT calculation (PBE) of Ac2Si3Pd2 after structural relaxation.

Geometry as POSCAR:
```
Ac2Si3Pd2
1.0
2.260 -9.494 0.000
2.260 9.494 0.000
0.000 0.000 7.116
Ac Si Pd
4 6 4
direct
0.057 0.943 0.750 Ac
0.157 0.843 0.250 Ac
0.843 0.157 0.750 Ac
0.943 0.057 0.250 Ac
0.225 0.775 0.750 Si
0.443 0.557 0.576 Si
0.443 0.557 0.924 Si
0.557 0.443 0.076 Si
0.557 0.443 0.424 Si
0.775 0.225 0.250 Si
0.305 0.695 0.049 Pd
0.305 0.695 0.451 Pd
0.695 0.305 0.549 Pd
0.695 0.305 0.951 Pd
```

Output
**Space group**: Cmcm
**E_form (uncorrected)**: -0.729 eV/atom
**Electronic total energy**: -5.711 eV/atom
**E above lowest polymorph**: 12 meV/atom

3.
The following is a DFT calculation (PBE) of Ac2Si2Pd3 after structural relaxation.

Geometry as POSCAR:
```
Ac2Si2Pd3
1.0
2.116 -10.220 0.000
2.116 10.220 0.000
0.000 0.000 7.457
Ac Si Pd
4 4 6
direct
0.045 0.955 0.750 Ac
0.178 0.822 0.250 Ac
0.822 0.178 0.750 Ac
0.955 0.045 0.250 Ac
0.331 0.669 0.089 Si
0.331 0.669 0.411 Si
0.669 0.331 0.589 Si
0.669 0.331 0.911 Si
0.198 0.802 0.750 Pd
0.435 0.565 0.564 Pd
0.435 0.565 0.936 Pd
0.565 0.435 0.064 Pd
0.565 0.435 0.436 Pd
0.802 0.198 0.250 Pd
```

Output
**Space group**: Cmcm
**E_form (uncorrected)**: -0.780 eV/atom
**Electronic total energy**: -5.728 eV/atom
**E above lowest polymorph**: 4 meV/atom

4.
The following is a DFT calculation (PBE) of Ac3Si2Pd3 after structural relaxation.

Geometry as POSCAR:
```
Ac3Si2Pd3
1.0
7.999 0.000 0.000
0.000 15.711 0.000
0.000 0.000 6.258
Ac Si Pd
12 8 12
direct
0.011 0.108 0.141 Ac
0.011 0.392 0.141 Ac
0.139 0.250 0.640 Ac
0.361 0.750 0.140 Ac
0.489 0.608 0.641 Ac
0.489 0.892 0.641 Ac
0.511 0.108 0.359 Ac
0.511 0.392 0.359 Ac
0.639 0.250 0.860 Ac
0.861 0.750 0.360 Ac
0.989 0.608 0.859 Ac
0.989 0.892 0.859 Ac
0.144 0.592 0.355 Si
0.144 0.908 0.355 Si
0.356 0.092 0.855 Si
0.356 0.408 0.855 Si
0.644 0.592 0.145 Si
0.644 0.908 0.145 Si
0.856 0.092 0.645 Si
0.856 0.408 0.645 Si
0.150 0.037 0.602 Pd
0.150 0.463 0.602 Pd
0.205 0.750 0.596 Pd
0.295 0.250 0.096 Pd
0.350 0.537 0.102 Pd
0.350 0.963 0.102 Pd
0.650 0.037 0.898 Pd
0.650 0.463 0.898 Pd
0.705 0.750 0.904 Pd
0.795 0.250 0.404 Pd
0.850 0.537 0.398 Pd
0.850 0.963 0.398 Pd
```

Output
**Space group**: Pnma
**E_form (uncorrected)**: -0.822 eV/atom
**Electronic total energy**: -5.666 eV/atom
**E above lowest polymorph**: 0 meV/atom

5.
The following is a DFT calculation (PBE) of Ac2Si2Pd3 after structural relaxation.

Geometry as POSCAR:
```
Ac2Si2Pd3
1.0
5.700 -2.024 0.000
5.700 2.024 0.000
-3.274 0.000 6.588
Ac Si Pd
2 2 3
direct
0.130 0.130 0.267 Ac
0.870 0.870 0.733 Ac
0.149 0.149 0.726 Si
0.851 0.851 0.274 Si
0.352 0.352 0.076 Pd
0.500 0.500 0.500 Pd
0.648 0.648 0.924 Pd
```

Output
**Space group**: C2/m
**E_form (uncorrected)**: -0.784 eV/atom
**Electronic total energy**: -5.732 eV/atom
**E above lowest polymorph**: 0 meV/atom

6.
The following is a DFT calculation (PBE) of AcSi3Pd3 after structural relaxation.

Geometry as POSCAR:
```
AcSi3Pd3
1.0
3.446 1.989 7.181
-3.446 1.989 7.181
0.000 -3.979 7.181
Ac Si Pd
2 6 6
direct
0.168 0.168 0.168 Ac
0.832 0.832 0.832 Ac
0.009 0.634 0.211 Si
0.211 0.009 0.634 Si
0.366 0.789 0.991 Si
0.634 0.211 0.009 Si
0.789 0.991 0.366 Si
0.991 0.366 0.789 Si
0.132 0.650 0.404 Pd
0.350 0.596 0.868 Pd
0.404 0.132 0.650 Pd
0.596 0.868 0.350 Pd
0.650 0.404 0.132 Pd
0.868 0.350 0.596 Pd
```

Output
**Space group**: R-3
**E_form (uncorrected)**: -0.426 eV/atom
**Electronic total energy**: -5.563 eV/atom
**E above lowest polymorph**: 115 meV/atom

7.
The following is a DFT calculation (PBE) of Ac2SiPd2 after structural relaxation.

Geometry as POSCAR:
```
Ac2SiPd2
1.0
5.818 -2.164 0.000
5.818 2.164 0.000
-5.122 0.000 10.471
Ac Si Pd
4 2 4
direct
0.090 0.090 0.395 Ac
0.305 0.305 0.863 Ac
0.695 0.695 0.137 Ac
0.910 0.910 0.605 Ac
0.424 0.424 0.177 Si
0.576 0.576 0.823 Si
0.041 0.041 0.904 Pd
0.376 0.376 0.374 Pd
0.624 0.624 0.626 Pd
0.959 0.959 0.096 Pd
```

Output
**Space group**: C2/m
**E_form (uncorrected)**: -0.790 eV/atom
**Electronic total energy**: -5.595 eV/atom

8.
The following is a DFT calculation (PBE) of AcSiPd after structural relaxation.

Geometry as POSCAR:
```
AcSiPd
1.0
-2.165 3.808 4.418
2.165 -3.808 4.418
2.165 3.808 -4.418
Ac Si Pd
2 2 2
direct
0.237 0.237 0.000 Ac
0.763 0.763 0.000 Ac
0.344 0.000 0.344 Si
0.656 0.000 0.656 Si
0.189 0.500 0.689 Pd
0.811 0.500 0.311 Pd
```

Output
**Space group**: Immm
**E_form (uncorrected)**: -0.840 eV/atom
**Electronic total energy**: -5.748 eV/atom
**E above lowest polymorph**: 24 meV/atom